a.
## VP2ClF (PBE+U)

Data for a relaxed structure of VP2ClF.

## Properties
Space-group type   P4/mmm, No. 123
Magnetization   0.1 μB/cell
Crystal system   tetragonal
Calculated volume   16.999 A^3/atom

Lattice parameters (Å, degrees): 4.058 4.058 5.162 90.00 90.00 90.00
Positions (direct):
V: 0.000 0.000 0.000
P: 0.000 0.500 0.500
P: 0.500 0.000 0.500
Cl: 0.500 0.500 0.000
F: 0.500 0.500 0.500

***

b.
## VP2ClF (PBE+U)

Data for a relaxed structure of VP2ClF.

## Properties
Space-group type   P4/mmm, No. 123
Magnetization   0.0 μB/cell
Crystal system   tetragonal
Calculated volume   18.938 A^3/atom

Lattice parameters (Å, degrees): 4.536 4.536 4.603 90.00 90.00 90.00
Positions (direct):
V: 0.000 0.000 0.000
P: 0.000 0.500 0.000
P: 0.500 0.000 0.000
Cl: 0.000 0.000 0.500
F: 0.500 0.500 0.500

***

Ranking the structures above by energy, b is first and the second is 482 meV/atom behind.